Record 1
ZrBe3Rh at its PBEsol-relaxed geometry. Source: Alexandria via LeMat-Bulk, functional SCAN.

Output
E_form = -214.3 meV/atom

```
ZrBe3Rh
1.0
4.073 0.000 0.000
0.000 4.073 0.000
0.000 0.000 4.073
Be Rh Zr
3 1 1
Direct
0.000 0.500 0.000
0.000 0.000 0.500
0.500 0.000 0.000
0.000 0.000 0.000
0.500 0.500 0.500
```


Record 2
LiRu2Cl at its PBEsol-relaxed geometry. Source: Alexandria via LeMat-Bulk, functional SCAN.

Output
excess energy over the best structure of this formula in the dataset = 0.560 eV/atom
formation energy from raw total energies = 0.45 eV per atom

```
LiRu2Cl
1.0
-1.966 -1.903 0.349
2.446 -1.994 2.898
-1.991 2.707 3.544
Cl Li Ru
1 1 2
Direct
0.500 0.000 0.500
0.000 0.500 0.500
0.000 0.000 0.000
0.500 0.500 0.000
```


Record 3
PtAu2Se at its PBEsol-relaxed geometry. Source: Alexandria via LeMat-Bulk, functional SCAN.

Output
formation energy from raw total energies = 0.37 eV per atom

```
PtAu2Se
1.0
-0.356 0.474 -2.739
-4.106 -2.756 0.056
-2.685 4.020 1.045
Au Pt Se
2 1 1
Direct
0.000 0.000 0.500
0.000 0.500 0.000
0.500 0.500 0.500
0.500 0.000 0.000
```


In μB per cell, the spin magnetization values for the records above are, in order, 0.00 0.00 0.00.